1.
! Co2TeCl PBE optimized geometry; values from VASP
! total DFT energy (no corrections): -4.8590 eV per atom
! excess energy over the best structure of this formula in the dataset: 10 meV/atom
! energy relative to the elements, uncorrected: -23 kJ/mol of formula units
! total moment: 0.90 μB per atom
&SYSTEM
  ibrav = 0, nat = 4, ntyp = 3
/
ATOMIC_SPECIES
Co 58.93 Co.upf
Cl 35.45 Cl.upf
Te 127.60 Te.upf
ATOMIC_POSITIONS angstrom
Co 1.836 1.395 0.768
Co 0.000 3.234 0.741
Cl 1.836 3.352 6.055
Te 0.000 1.423 2.501
CELL_PARAMETERS angstrom
3.671 0.000 0.000
0.000 3.677 -0.059
0.000 0.142 6.808

***

2.
! AlRh2Au PBE optimized geometry; values from VASP
! total DFT energy (no corrections): -5.7566 eV per atom
! total moment: 0.00 μB per atom
&SYSTEM
  ibrav = 0, nat = 4, ntyp = 3
/
ATOMIC_SPECIES
Al 26.98 Al.upf
Rh 102.91 Rh.upf
Au 196.97 Au.upf
ATOMIC_POSITIONS angstrom
Al -0.248 1.274 5.530
Rh -0.511 1.897 8.461
Rh 3.173 1.943 2.732
Au -0.084 0.642 2.719
CELL_PARAMETERS angstrom
-2.435 1.596 3.890
-1.389 -1.027 4.542
3.226 1.961 2.717

***

3.
! Mg3PN PBE optimized geometry; values from VASP
! total DFT energy (no corrections): -3.8919 eV per atom
! excess energy over the best structure of this formula in the dataset: 550 meV/atom
! energy relative to the elements, uncorrected: -91 kJ/mol of formula units
! total moment: 0.00 μB per atom
&SYSTEM
  ibrav = 0, nat = 10, ntyp = 3
/
ATOMIC_SPECIES
P 30.97 P.upf
Mg 24.30 Mg.upf
N 14.01 N.upf
ATOMIC_POSITIONS angstrom
P 0.949 1.607 5.228
P -3.833 1.294 1.375
Mg -0.398 -1.105 2.214
Mg -3.709 -1.131 3.024
Mg -4.783 1.499 4.144
Mg 0.000 0.000 0.000
Mg 0.824 4.031 3.579
Mg 1.899 1.401 2.459
N 4.256 2.512 6.275
N -7.140 0.388 0.328
CELL_PARAMETERS angstrom
6.176 4.532 3.373
-8.264 0.578 -1.198
-0.796 -2.210 4.428